[1]
An optimized crystal structure of HoSeF. Source: Alexandria via LeMat-Bulk, functional PBE-GGA. Values from VASP.

Computed properties:
formation energy (no corrections) = -2.87 eV per atom

Cell and atoms, written as Quantum ESPRESSO input:
```
&SYSTEM
  ibrav = 0, nat = 36, ntyp = 3
/
ATOMIC_SPECIES
Ho 164.93 Ho.upf
F 19.00 F.upf
Se 78.96 Se.upf
CELL_PARAMETERS angstrom
-3.617 -0.450 1.836
-3.747 -4.017 -8.367
5.147 -17.163 5.936
ATOMIC_POSITIONS crystal
Ho 0.750 0.909 0.916
Ho 0.250 0.257 0.761
F 0.250 0.187 0.304
Ho 0.750 0.243 0.261
F 0.750 0.813 0.696
Se 0.250 0.335 0.160
F 0.250 0.687 0.196
Ho 0.250 0.576 0.081
Se 0.250 0.496 0.679
Ho 0.250 0.076 0.419
Ho 0.250 0.591 0.416
F 0.750 0.650 0.128
Ho 0.750 0.743 0.239
Se 0.250 0.835 0.014
F 0.250 0.350 0.872
Se 0.250 0.335 0.486
F 0.750 0.991 0.466
Se 0.750 0.165 0.660
F 0.750 0.313 0.804
Se 0.750 0.665 0.514
F 0.250 0.009 0.534
Ho 0.750 0.409 0.584
F 0.750 0.491 0.034
Se 0.250 0.835 0.340
Se 0.750 0.004 0.179
Se 0.750 0.165 0.986
F 0.750 0.150 0.372
Ho 0.250 0.757 0.739
Ho 0.750 0.424 0.919
Se 0.750 0.665 0.840
F 0.250 0.509 0.966
Ho 0.250 0.091 0.084
F 0.250 0.850 0.628
Se 0.250 0.996 0.821
Ho 0.750 0.924 0.581
Se 0.750 0.504 0.321
```

[2]
An optimized crystal structure of Au2SeBr. Source: Alexandria via LeMat-Bulk, functional PBE-GGA. Values from VASP.

Computed properties:
formation energy (no corrections) = 0.23 eV per atom

Cell and atoms, written as Quantum ESPRESSO input:
```
&SYSTEM
  ibrav = 0, nat = 4, ntyp = 3
/
ATOMIC_SPECIES
Au 196.97 Au.upf
Se 78.96 Se.upf
Br 79.90 Br.upf
CELL_PARAMETERS angstrom
6.703 -0.098 0.081
1.314 6.574 -0.081
-1.964 -5.769 2.795
ATOMIC_POSITIONS crystal
Au 0.991 0.991 0.000
Au 0.769 0.269 0.500
Se 0.195 0.695 0.500
Br 0.545 0.545 0.000
```

[3]
An optimized crystal structure of La2Nb2Rh. Source: Alexandria via LeMat-Bulk, functional PBE-GGA. Values from VASP.

Computed properties:
ΔE_f = 108 meV per atom

Cell and atoms, written as Quantum ESPRESSO input:
```
&SYSTEM
  ibrav = 0, nat = 10, ntyp = 3
/
ATOMIC_SPECIES
Rh 102.91 Rh.upf
Nb 92.91 Nb.upf
La 138.91 La.upf
CELL_PARAMETERS angstrom
-1.965 6.430 -0.990
-6.296 -2.140 -1.403
-1.266 0.395 5.080
ATOMIC_POSITIONS crystal
Rh 0.000 0.000 0.000
Rh 0.500 0.500 0.000
Nb 0.359 0.859 0.000
Nb 0.641 0.141 0.000
La 0.175 0.675 0.500
Nb 0.141 0.359 0.000
Nb 0.859 0.641 0.000
La 0.325 0.175 0.500
La 0.675 0.825 0.500
La 0.825 0.325 0.500
```

Record order is preserved below.
N(E_F): 0.0, 2.4, 11.2 states/eV/f.u.